Crystalline Os2RuPb at its relaxed geometry, computed with GGA-PBEsol.

extended XYZ file:
```
4
Lattice="2.871 0.000 0.000 -1.436 4.525 0.002 0.000 -0.827 4.910" Properties=species:S:1:pos:R:3 pbc="T T T"
Os 0.000 -0.806 4.837
Os 0.000 1.696 3.914
Pb 0.000 4.108 2.397
Ru 1.436 1.984 1.132
```

Values from the calculation:
VASP energy ... -8.9226 eV/atom
Formation energy ... 0.728 eV/atom
Space-group type ... Cm

=====

Crystalline LiBe2Rh at its relaxed geometry, computed with GGA-PBEsol.

extended XYZ file:
```
4
Lattice="-0.880 0.117 -2.638 -0.694 -3.749 0.064 -3.551 0.678 1.215" Properties=species:S:1:pos:R:3 pbc="T T T"
Be -1.775 0.339 0.607
Be -0.347 -1.875 0.032
Rh -2.562 -1.477 -0.680
Li -0.440 0.059 -1.319
```

Values from the calculation:
VASP energy ... -4.8604 eV/atom
Formation energy ... -0.334 eV/atom
Space-group type ... P4/mmm

=====

Crystalline Mg2CrNi at its relaxed geometry, computed with GGA-PBEsol.

extended XYZ file:
```
4
Lattice="4.407 0.000 0.000 2.204 3.817 0.000 2.204 1.272 3.598" Properties=species:S:1:pos:R:3 pbc="T T T"
Cr 0.000 0.000 0.000
Mg 2.204 1.272 0.900
Mg 6.611 3.817 2.699
Ni 4.407 2.544 1.799
```

Values from the calculation:
VASP energy ... -4.6618 eV/atom
Formation energy ... 0.297 eV/atom
Space-group type ... Fm-3m
Energy above the most stable polymorph in this dataset ... 17 meV per atom

=====

Crystalline Cr3MoPb at its relaxed geometry, computed with GGA-PBEsol.

extended XYZ file:
```
5
Lattice="-2.128 -0.613 -4.469 4.425 -1.243 -1.937 -0.876 -4.791 1.074" Properties=species:S:1:pos:R:3 pbc="T T T"
Pb 0.000 0.000 0.000
Cr 2.212 -0.622 -0.968
Cr -0.438 -2.396 0.537
Cr -1.064 -0.306 -2.234
Mo 0.711 -3.324 -2.666
```

Values from the calculation:
VASP energy ... -6.9469 eV/atom
Formation energy ... 2.352 eV/atom
Space-group type ... Pm-3m

=====

Crystalline B2TeF2 at its relaxed geometry, computed with GGA-PBEsol.

extended XYZ file:
```
10
Lattice="-1.244 -1.943 -1.464 0.002 -4.227 5.609 -6.253 2.553 1.926" Properties=species:S:1:pos:R:3 pbc="T T T"
B -4.500 0.908 2.619
B -4.877 -1.051 5.540
B -1.750 -2.583 4.916
B -1.374 -0.624 1.995
Te 0.000 0.000 0.000
Te -3.125 -0.837 3.768
F -4.529 0.095 1.172
F -6.093 -1.379 4.459
F -2.965 -3.713 4.899
F -1.402 -2.238 1.612
```

Values from the calculation:
VASP energy ... -4.3386 eV/atom
Space-group type ... P4/mbm
ΔE_f (raw) ... -0.06 eV/atom

=====

Crystalline MgC2SeS at its relaxed geometry, computed with GGA-PBEsol.

extended XYZ file:
```
5
Lattice="4.031 0.000 0.000 0.000 4.031 0.000 0.000 0.000 5.231" Properties=species:S:1:pos:R:3 pbc="T T T"
C 0.000 2.015 0.000
C 2.015 0.000 0.000
S 2.015 2.015 2.615
Mg 0.000 0.000 0.000
Se 0.000 0.000 2.615
```

Values from the calculation:
VASP energy ... -3.4696 eV/atom
Space-group type ... P4/mmm
ΔE_f (raw) ... 2.38 eV/atom

=====

Crystalline Ta2AgPb at its relaxed geometry, computed with GGA-PBEsol.

extended XYZ file:
```
4
Lattice="-2.951 0.488 -2.745 2.603 -0.951 -2.967 -1.103 -4.323 0.418" Properties=species:S:1:pos:R:3 pbc="T T T"
Pb -0.552 -2.161 0.209
Ag -0.726 -2.393 -2.647
Ta 1.301 -0.475 -1.484
Ta -1.476 0.244 -1.372
```

Values from the calculation:
VASP energy ... -7.7271 eV/atom
Formation energy ... 0.376 eV/atom
Space-group type ... P4/mmm

=====

Crystalline FeReSi2 at its relaxed geometry, computed with GGA-PBEsol.

extended XYZ file:
```
4
Lattice="3.028 0.000 0.000 0.000 4.407 0.000 -1.514 -2.204 3.704" Properties=species:S:1:pos:R:3 pbc="T T T"
Fe 1.514 0.000 0.000
Re 0.000 2.204 0.000
Si 1.514 2.204 1.961
Si 0.000 0.000 1.743
```

Values from the calculation:
VASP energy ... -8.5720 eV/atom
Space-group type ... Immm
ΔE_f (raw) ... -0.12 eV/atom